No. 1
BaYAgTeSe2 after structural relaxation, computed with PBE.

Output
* polymorph energy (0 for the lowest one): 0 meV per atom
* magnetic moment: 0.0 Bohr magnetons per cell
* ρ: 5.74 Mg/m³
* uncorrected energy: -4.98 eV per atom
* space group: Cmcm (63)

Cell lengths 7.6972, 7.6972, 11.2446 Å; angles 90.00, 90.00, 147.43 degrees
Last column: nearest neighbours and their distance in Å.
Fractional positions:
Ba 0.2270 0.7730 0.7500  4 Se 3.40, 2 Te 3.44, 2 Ag 3.66
Ba 0.7730 0.2270 0.2500  4 Se 3.40, 2 Te 3.44, 2 Ag 3.66
Y 0.0000 0.0000 0.0000  4 Se 2.95, 2 Te 3.12
Y 0.0000 0.0000 0.5000  4 Se 2.95, 2 Te 3.12
Ag 0.4727 0.5273 0.2500  2 Se 2.65, 2 Te 2.78
Ag 0.5273 0.4727 0.7500  2 Se 2.65, 2 Te 2.78
Te 0.0915 0.9085 0.2500  2 Ag 2.78
Te 0.9085 0.0915 0.7500  2 Ag 2.78
Se 0.3711 0.6289 0.0558  1 Ag 2.65, 2 Y 2.95
Se 0.3711 0.6289 0.4442  1 Ag 2.65, 2 Y 2.95
Se 0.6289 0.3711 0.5558  1 Ag 2.65, 2 Y 2.95
Se 0.6289 0.3711 0.9442  1 Ag 2.65, 2 Y 2.95

---

No. 2
LiYNbCo after structural relaxation, computed with PBE.

Output
* polymorph energy (0 for the lowest one): 138 meV per atom
* magnetic moment: 0.0 Bohr magnetons per cell
* ρ: 6.15 Mg/m³
* uncorrected energy: -6.04 eV per atom
* space group: F-43m (216)

Cell lengths 6.4429, 6.4429, 6.4429 Å; angles 90.00, 90.00, 90.00 degrees
Last column: nearest neighbours and their distance in Å.
Fractional positions:
Li 0.0000 0.0000 0.0000  4 Co 2.79, 4 Y 2.79
Li 0.0000 0.5000 0.5000  4 Co 2.79, 4 Y 2.79
Li 0.5000 0.0000 0.5000  4 Co 2.79, 4 Y 2.79
Li 0.5000 0.5000 0.0000  4 Co 2.79, 4 Y 2.79
Y 0.2500 0.2500 0.7500  4 Nb 2.79, 4 Li 2.79
Y 0.2500 0.7500 0.2500  4 Nb 2.79, 4 Li 2.79
Y 0.7500 0.2500 0.2500  4 Nb 2.79, 4 Li 2.79
Y 0.7500 0.7500 0.7500  4 Nb 2.79, 4 Li 2.79
Nb 0.0000 0.0000 0.5000  4 Co 2.79, 4 Y 2.79
Nb 0.0000 0.5000 0.0000  4 Co 2.79, 4 Y 2.79
Nb 0.5000 0.0000 0.0000  4 Co 2.79, 4 Y 2.79
Nb 0.5000 0.5000 0.5000  4 Co 2.79, 4 Y 2.79
Co 0.2500 0.2500 0.2500  4 Nb 2.79, 4 Li 2.79
Co 0.2500 0.7500 0.7500  4 Nb 2.79, 4 Li 2.79
Co 0.7500 0.2500 0.7500  4 Nb 2.79, 4 Li 2.79
Co 0.7500 0.7500 0.2500  4 Nb 2.79, 4 Li 2.79

---

No. 3
NaHoNiS3 after structural relaxation, computed with PBE.

Output
* magnetic moment: 5.0 Bohr magnetons per cell
* ρ: 4.25 Mg/m³
* uncorrected energy: -5.22 eV per atom
* space group: Pnma (62)

Cell lengths 13.2085, 3.8360, 10.5674 Å; angles 90.00, 90.00, 90.00 degrees
Last column: nearest neighbours and their distance in Å.
Fractional positions:
Na 0.2311 0.2500 0.0721  4 S 2.84-2.90
Na 0.2689 0.7500 0.5721  4 S 2.84-2.90
Na 0.7311 0.2500 0.4279  4 S 2.84-2.90
Na 0.7689 0.7500 0.9279  4 S 2.84-2.90
Ho 0.0167 0.2500 0.3421  6 S 2.68-2.85
Ho 0.4833 0.7500 0.8421  6 S 2.68-2.85
Ho 0.5167 0.2500 0.1579  6 S 2.68-2.85
Ho 0.9833 0.7500 0.6579  6 S 2.68-2.85
Ni 0.0059 0.7500 0.0864  4 S 2.23-2.29
Ni 0.4941 0.2500 0.5864  4 S 2.23-2.29
Ni 0.5059 0.7500 0.4136  4 S 2.23-2.29
Ni 0.9941 0.2500 0.9136  4 S 2.23-2.29
S 0.0818 0.7500 0.8974  3 Ni 2.23-2.25
S 0.1104 0.2500 0.5668  3 Ho 2.68-2.72, 2 Na 2.84
S 0.1309 0.7500 0.2363  1 Ni 2.29
S 0.3691 0.2500 0.7363  1 Ni 2.29
S 0.3896 0.7500 0.0668  3 Ho 2.68-2.72, 2 Na 2.84
S 0.4182 0.2500 0.3974  3 Ni 2.23-2.25
S 0.5818 0.7500 0.6026  3 Ni 2.23-2.25
S 0.6104 0.2500 0.9332  3 Ho 2.68-2.72, 2 Na 2.84
S 0.6309 0.7500 0.2637  1 Ni 2.29
S 0.8691 0.2500 0.7637  1 Ni 2.29
S 0.8896 0.7500 0.4332  3 Ho 2.68-2.72, 2 Na 2.84
S 0.9182 0.2500 0.1026  3 Ni 2.23-2.25

---

No. 4
SmGeTeAuSe2 after structural relaxation, computed with PBE.

Output
* magnetic moment: 0.0 Bohr magnetons per cell
* ρ: 7.41 Mg/m³
* uncorrected energy: -4.49 eV per atom
* space group: Cmcm (63)

Cell lengths 7.2547, 7.2547, 11.2477 Å; angles 90.00, 90.00, 147.70 degrees
Last column: nearest neighbours and their distance in Å.
Fractional positions:
Sm 0.0000 0.0000 0.0000  4 Se 2.96, 2 Te 3.22
Sm 0.0000 0.0000 0.5000  4 Se 2.96, 2 Te 3.22
Ge 0.1852 0.8148 0.7500  4 Se 2.94, 2 Au 2.99
Ge 0.8148 0.1852 0.2500  4 Se 2.94, 2 Au 2.99
Te 0.1120 0.8880 0.2500  2 Au 2.79
Te 0.8880 0.1120 0.7500  2 Au 2.79
Au 0.4733 0.5267 0.2500  2 Se 2.66, 2 Te 2.79
Au 0.5267 0.4733 0.7500  2 Se 2.66, 2 Te 2.79
Se 0.3541 0.6459 0.0659  1 Au 2.66, 2 Ge 2.94, 2 Sm 2.96
Se 0.3541 0.6459 0.4341  1 Au 2.66, 2 Ge 2.94, 2 Sm 2.96
Se 0.6459 0.3541 0.5659  1 Au 2.66, 2 Ge 2.94, 2 Sm 2.96
Se 0.6459 0.3541 0.9341  1 Au 2.66, 2 Ge 2.94, 2 Sm 2.96

---

No. 5
La3ReN5 after structural relaxation, computed with PBE.

Output
* magnetic moment: 0.0 Bohr magnetons per cell
* ρ: 8.04 Mg/m³
* uncorrected energy: -8.71 eV per atom
* space group: I4/mcm (140)

Cell lengths 7.6109, 7.6109, 7.6109 Å; angles 126.12, 126.12, 79.68 degrees
Last column: nearest neighbours and their distance in Å.
Fractional positions:
La 0.1731 0.6731 0.8463  4 N 2.48-2.55
La 0.2500 0.2500 0.0000  10 N 2.87-2.92
La 0.3269 0.1731 0.5000  4 N 2.48-2.55
La 0.6731 0.8269 0.5000  4 N 2.48-2.55
La 0.7500 0.7500 0.0000  10 N 2.87-2.92
La 0.8269 0.3269 0.1537  4 N 2.48-2.55
Re 0.2500 0.7500 0.5000  4 N 1.85
Re 0.7500 0.2500 0.5000  4 N 1.85
N 0.0000 0.0000 0.0000  4 La 2.55
N 0.0032 0.7998 0.5000  1 Re 1.85
N 0.2002 0.7002 0.2034  1 Re 1.85
N 0.2998 0.5032 0.5000  1 Re 1.85
N 0.4968 0.9968 0.7966  1 Re 1.85
N 0.5000 0.5000 0.0000  4 La 2.55
N 0.5032 0.0032 0.2034  1 Re 1.85
N 0.7002 0.4968 0.5000  1 Re 1.85
N 0.7998 0.2998 0.7966  1 Re 1.85
N 0.9968 0.2002 0.5000  1 Re 1.85

---

No. 6
ErTm2O3 after structural relaxation, computed with PBE.

Output
* magnetic moment: 0.0 Bohr magnetons per cell
* ρ: 11.66 Mg/m³
* uncorrected energy: -7.51 eV per atom
* space group: P-3m1 (164)

Cell lengths 3.3431, 3.3431, 8.1420 Å; angles 90.00, 90.00, 120.00 degrees
Last column: nearest neighbours and their distance in Å.
Fractional positions:
Er 0.0000 0.0000 0.0000  6 O 2.39
Tm 0.3333 0.6667 0.6666  6 O 2.33-2.36
Tm 0.6667 0.3333 0.3334  6 O 2.33-2.36
O 0.0000 0.0000 0.5000  6 Tm 2.36
O 0.3333 0.6667 0.1721  3 Tm 2.33, 3 Er 2.39
O 0.6667 0.3333 0.8279  3 Tm 2.33, 3 Er 2.39